The following is a DFT calculation (PBE-GGA) of an optimized crystal structure of SbPS2F.

Computed properties:
**Calculated volume**: 95.1 Å³/cell
**Magnetic moment**: 0.00 μB per formula unit
**Distance to the lowest polymorph of the same formula**: 0.000 eV per formula unit
**VASP energy**: -3.456 eV per atom
**Uncorrected formation energy**: 0.476 eV per atom

```
SbPS2F
1.0
5.103 0.000 0.000
0.000 5.103 0.000
0.000 0.000 3.651
Sb P S F
1 1 2 1
Direct
0.000 0.000 0.000
0.500 0.500 0.000
0.000 0.500 0.500
0.500 0.000 0.500
0.500 0.500 0.500
```


The following is a DFT calculation (PBE-GGA) of an optimized crystal structure of ScP2SF.

Computed properties:
**Calculated volume**: 85.1 Å³/cell
**Magnetic moment**: 0.00 μB per formula unit
**Distance to the lowest polymorph of the same formula**: 0.000 eV per formula unit
**VASP energy**: -4.806 eV per atom
**Uncorrected formation energy**: -0.176 eV per atom

```
ScP2SF
1.0
3.989 0.000 0.000
0.000 3.989 0.000
0.000 0.000 5.349
Sc P S F
1 2 1 1
Direct
0.000 0.000 0.000
0.000 0.500 0.500
0.500 0.000 0.500
0.500 0.500 0.000
0.500 0.500 0.500
```


The following is a DFT calculation (PBE-GGA) of an optimized crystal structure of ScPS2F.

Computed properties:
**Calculated volume**: 117.9 Å³/cell
**Magnetic moment**: 0.57 μB per formula unit
**Distance to the lowest polymorph of the same formula**: 0.635 eV per formula unit
**VASP energy**: -4.411 eV per atom
**Uncorrected formation energy**: -0.038 eV per atom

```
ScPS2F
1.0
4.796 0.000 0.000
0.000 4.796 0.000
0.000 0.000 5.126
Sc P S F
1 1 2 1
Direct
0.000 0.000 0.000
0.000 0.000 0.500
0.000 0.500 0.000
0.500 0.000 0.000
0.500 0.500 0.500
```


Question: What is the distance to the lowest polymorph of the same formula in the first record?
Answer: 0.000 eV per formula unit


Question: Among the records above, which one has the highest magnetic moment?
Answer: ScPS2F